#1
Density functional theory data (PBE) for a relaxed Na2Te3Pd2 crystal.

Output
- Mass density: 6.51 Mg/m³
- Crystal system: cubic

Geometry as POSCAR:
```
Na2Te3Pd2
1.0
-4.342 4.342 4.342
4.342 -4.342 4.342
4.342 4.342 -4.342
Pd Te Na
4 6 4
direct
0.813 0.500 0.000
0.500 0.000 0.813
0.687 0.687 0.687
0.000 0.813 0.500
0.250 0.645 0.395
0.105 0.750 0.855
0.645 0.395 0.250
0.750 0.855 0.105
0.395 0.250 0.645
0.855 0.105 0.750
0.324 0.500 0.000
0.500 0.000 0.324
0.000 0.324 0.500
0.176 0.176 0.176
```

=====

#2
Density functional theory data (PBE) for a relaxed Na2Te3Pd2 crystal.

Output
- Mass density: 5.35 Mg/m³
- Crystal system: trigonal

Geometry as POSCAR:
```
Na2Te3Pd2
1.0
3.406 1.967 4.958
-3.406 1.967 4.958
0.000 -3.933 4.958
Te Pd Na
3 2 2
direct
0.000 0.500 0.000
0.000 0.000 0.500
0.500 0.000 0.000
0.287 0.287 0.287
0.713 0.713 0.713
0.000 0.000 0.000
0.500 0.500 0.500
```

=====

Which structure is the least stable? The one labeled #2.

=====

#1
Density functional theory data (PBE) for a relaxed NaYTe3Pd crystal.

Output
- Total magnetization: 0.0 μB per cell
- Mass density: 5.55 Mg/m³
- Crystal system: monoclinic

Geometry as POSCAR:
```
NaYTe3Pd
1.0
8.729 0.000 0.000
0.000 4.263 0.000
-3.228 0.000 9.673
Y Te Na Pd
2 6 2 2
direct
0.313 0.250 0.846
0.687 0.750 0.154
0.434 0.250 0.162
0.566 0.750 0.838
0.065 0.750 0.854
0.229 0.250 0.521
0.771 0.750 0.479
0.935 0.250 0.146
0.223 0.750 0.257
0.777 0.250 0.743
0.096 0.750 0.597
0.904 0.250 0.403
```

=====

#2
Density functional theory data (PBE) for a relaxed NaYTe3Pd crystal.

Output
- Total magnetization: 0.0 μB per cell
- Mass density: 5.66 Mg/m³
- Crystal system: orthorhombic

Geometry as POSCAR:
```
NaYTe3Pd
1.0
-9.688 -1.671 2.270
0.269 -3.943 -1.757
4.406 -6.084 14.328
Te Y Na Pd
12 4 4 4
direct
0.575 0.750 0.876
0.600 0.250 0.378
0.238 0.250 0.859
0.738 0.250 0.641
0.925 0.250 0.376
0.900 0.750 0.878
0.075 0.750 0.624
0.262 0.750 0.359
0.400 0.750 0.622
0.425 0.250 0.124
0.100 0.250 0.122
0.762 0.750 0.141
0.987 0.250 0.752
0.513 0.750 0.252
0.487 0.250 0.748
0.013 0.750 0.248
0.733 0.250 0.992
0.767 0.750 0.492
0.267 0.750 0.008
0.233 0.250 0.508
0.760 0.250 0.247
0.260 0.250 0.253
0.240 0.750 0.753
0.740 0.750 0.747
```

=====

Which structure is the least stable? The one labeled #1.

=====

#1
Density functional theory data (PBE) for a relaxed NaZrTlPd crystal.

Output
- Total magnetization: 0.0 μB per cell
- Mass density: 8.52 Mg/m³
- Crystal system: cubic

Geometry as POSCAR:
```
NaZrTlPd
1.0
0.000 3.460 3.460
3.460 0.000 3.460
3.460 3.460 0.000
Zr Pd Tl Na
1 1 1 1
direct
0.250 0.250 0.250
0.000 0.000 0.000
0.500 0.500 0.500
0.750 0.750 0.750
```

=====

#2
Density functional theory data (PBE) for a relaxed NaZrTlPd crystal.

Output
- Total magnetization: 0.0 μB per cell
- Mass density: 9.10 Mg/m³
- Crystal system: cubic

Geometry as POSCAR:
```
NaZrTlPd
1.0
0.000 3.385 3.385
3.385 0.000 3.385
3.385 3.385 0.000
Tl Zr Pd Na
1 1 1 1
direct
0.500 0.500 0.500
0.000 0.000 0.000
0.250 0.250 0.250
0.750 0.750 0.750
```

=====

Which structure is the least stable? The one labeled #1.

=====

#1
Density functional theory data (PBE) for a relaxed NaTmPd crystal.

Output
- Total magnetization: 0.0 μB per cell
- Mass density: 6.62 Mg/m³
- Crystal system: cubic

Geometry as POSCAR:
```
NaTmPd
1.0
-3.521 -2.192 -2.276
-4.253 2.048 -0.310
-1.527 1.664 -4.157
Na Tm Pd
1 1 1
direct
0.250 0.250 0.250
0.750 0.750 0.750
0.000 0.000 0.000
```

=====

#2
Density functional theory data (PBE) for a relaxed NaTmPd crystal.

Output
- Total magnetization: 0.0 μB per cell
- Mass density: 6.50 Mg/m³
- Crystal system: cubic

Geometry as POSCAR:
```
NaTmPd
1.0
2.564 -3.988 0.405
0.511 -2.079 4.249
-2.166 -4.140 0.899
Na Pd Tm
1 1 1
direct
0.250 0.250 0.250
0.750 0.750 0.750
0.000 0.000 0.000
```

=====

Which structure is the least stable? The one labeled #2.

=====

#1
Density functional theory data (PBE) for a relaxed NaYPd crystal.

Output
- Total magnetization: 0.0 μB per cell
- Mass density: 4.70 Mg/m³
- Crystal system: cubic

Geometry as POSCAR:
```
NaYPd
1.0
2.389 1.379 3.902
-2.389 1.379 3.902
0.000 -2.759 3.902
Pd Y Na
1 1 1
direct
0.000 0.000 0.000
0.750 0.750 0.750
0.250 0.250 0.250
```

=====

#2
Density functional theory data (PBE) for a relaxed NaYPd crystal.

Output
- Total magnetization: 0.0 μB per cell
- Mass density: 4.63 Mg/m³
- Crystal system: cubic

Geometry as POSCAR:
```
NaYPd
1.0
-1.225 -3.812 -2.652
-3.840 -2.624 1.197
-3.950 0.142 -2.727
Na Y Pd
1 1 1
direct
0.750 0.750 0.750
0.000 0.000 0.000
0.250 0.250 0.250
```

=====

Which structure is the least stable? The one labeled #2.

=====

#1
Density functional theory data (PBE) for a relaxed NaPrZnS3 crystal.

Output
- Total magnetization: 0.0 μB per cell
- Mass density: 3.85 Mg/m³
- Crystal system: monoclinic

Geometry as POSCAR:
```
NaPrZnS3
1.0
-7.887 2.053 4.842
-9.354 0.351 1.497
2.261 -7.031 2.587
S Na Pr Zn
6 2 2 2
direct
0.339 0.339 0.158
0.661 0.661 0.842
0.500 0.500 0.000
0.000 0.000 0.500
0.671 0.671 0.350
0.329 0.329 0.650
0.883 0.883 0.919
0.117 0.117 0.081
0.175 0.175 0.603
0.825 0.825 0.397
0.469 0.469 0.268
0.531 0.531 0.732
```

=====

#2
Density functional theory data (PBE) for a relaxed NaPrZnS3 crystal.

Output
- Total magnetization: 0.0 μB per cell
- Mass density: 3.58 Mg/m³
- Crystal system: orthorhombic

Geometry as POSCAR:
```
NaPrZnS3
1.0
13.405 0.000 0.000
0.000 4.024 0.000
0.000 0.000 11.190
Pr S Zn Na
4 12 4 4
direct
0.522 0.750 0.159
0.478 0.250 0.841
0.022 0.750 0.341
0.978 0.250 0.659
0.589 0.250 0.603
0.089 0.250 0.897
0.911 0.750 0.103
0.109 0.750 0.569
0.391 0.250 0.069
0.640 0.250 0.267
0.860 0.750 0.767
0.360 0.750 0.733
0.609 0.750 0.931
0.411 0.750 0.397
0.891 0.250 0.431
0.140 0.250 0.233
0.988 0.750 0.907
0.012 0.250 0.093
0.488 0.750 0.593
0.512 0.250 0.407
0.737 0.750 0.424
0.763 0.250 0.924
0.263 0.250 0.576
0.237 0.750 0.076
```

=====

Which structure is the least stable? The one labeled #1.

=====

#1
Density functional theory data (PBE) for a relaxed NaPrZnS3 crystal.

Output
- Total magnetization: 0.0 μB per cell
- Mass density: 3.76 Mg/m³
- Crystal system: orthorhombic

Geometry as POSCAR:
```
NaPrZnS3
1.0
6.451 -2.015 0.000
6.451 2.015 0.000
0.000 0.000 11.053
S Pr Zn Na
6 2 2 2
direct
0.639 0.639 0.580
0.361 0.361 0.080
0.639 0.639 0.920
0.361 0.361 0.420
0.077 0.077 0.250
0.923 0.923 0.750
0.000 0.000 0.000
0.000 0.000 0.500
0.533 0.533 0.750
0.467 0.467 0.250
0.752 0.752 0.250
0.248 0.248 0.750
```

=====

#2
Density functional theory data (PBE) for a relaxed NaPrZnS3 crystal.

Output
- Total magnetization: 0.0 μB per cell
- Mass density: 4.02 Mg/m³
- Crystal system: orthorhombic

Geometry as POSCAR:
```
NaPrZnS3
1.0
-3.676 1.654 -0.527
-4.575 -10.391 -0.688
-1.664 -0.030 11.514
Zn Na S Pr
4 4 12 4
direct
0.250 0.753 0.707
0.750 0.747 0.207
0.750 0.247 0.293
0.250 0.253 0.793
0.750 0.150 0.010
0.250 0.350 0.510
0.250 0.850 0.990
0.750 0.650 0.490
0.750 0.942 0.151
0.250 0.214 0.187
0.750 0.786 0.813
0.750 0.108 0.438
0.250 0.392 0.938
0.250 0.892 0.562
0.750 0.442 0.349
0.250 0.058 0.849
0.750 0.286 0.687
0.750 0.608 0.062
0.250 0.558 0.651
0.250 0.714 0.313
0.750 0.025 0.677
0.250 0.975 0.323
0.750 0.525 0.823
0.250 0.475 0.177
```

=====

#3
Density functional theory data (PBE) for a relaxed NaPrZnS3 crystal.

Output
- Total magnetization: 0.0 μB per cell
- Mass density: 3.64 Mg/m³
- Crystal system: monoclinic

Geometry as POSCAR:
```
NaPrZnS3
1.0
7.801 0.000 0.000
0.000 4.020 0.000
-2.164 0.000 9.474
Na Pr S Zn
2 2 6 2
direct
0.748 0.250 0.765
0.252 0.750 0.235
0.202 0.250 0.632
0.798 0.750 0.368
0.047 0.250 0.342
0.537 0.250 0.332
0.282 0.250 0.953
0.953 0.750 0.658
0.463 0.750 0.668
0.718 0.750 0.047
0.576 0.250 0.103
0.424 0.750 0.897
```

=====

Which structure is the least stable? The one labeled #3.

=====

#1
Density functional theory data (PBE) for a relaxed NaPrSc crystal.

Output
- Total magnetization: 1.8 μB per cell
- Mass density: 3.43 Mg/m³
- Crystal system: cubic

Geometry as POSCAR:
```
NaPrSc
1.0
-0.165 3.276 4.072
-0.969 5.080 -0.770
-4.563 2.051 1.521
Sc Na Pr
1 1 1
direct
0.750 0.750 0.750
0.000 0.000 0.000
0.250 0.250 0.250
```

=====

#2
Density functional theory data (PBE) for a relaxed NaPrSc crystal.

Output
- Total magnetization: 0.5 μB per cell
- Mass density: 3.31 Mg/m³
- Crystal system: cubic

Geometry as POSCAR:
```
NaPrSc
1.0
3.640 0.208 3.834
0.541 4.394 2.897
-1.501 0.025 5.073
Sc Na Pr
1 1 1
direct
0.750 0.750 0.750
0.250 0.250 0.250
0.000 0.000 0.000
```

=====

Which structure is the least stable? The one labeled #2.